*w*
Computed, not measured: a relaxed structure of K2InSi at the GGA-PBE level of DFT.

symmetry	P2/m

abc: 5.514 3.594 7.164
angles: 60.23 90.00 90.00
Positions (direct):
Si (0.500, 0.250, 0.250)
K (0.000, 0.509, 0.488)
K (0.000, 0.991, 0.012)
In (0.500, 0.750, 0.750)

*x*
Computed, not measured: a relaxed structure of K2InSi at the GGA-PBE level of DFT.

symmetry	R-3m

abc: 11.911 11.911 11.911
angles: 17.10 17.10 17.10
Positions (direct):
Si (0.250, 0.250, 0.250)
In (0.750, 0.750, 0.750)
K (0.994, 0.994, 0.994)
K (0.506, 0.506, 0.506)

*y*
Computed, not measured: a relaxed structure of K2InSi at the GGA-PBE level of DFT.

symmetry	I-42d

abc: 4.640 4.640 12.462
angles: 79.27 79.27 90.00
Positions (direct):
K (0.614, 0.125, 0.250)
K (0.875, 0.864, 0.750)
K (0.375, 0.386, 0.750)
K (0.136, 0.625, 0.250)
In (0.750, 0.250, 0.500)
In (0.000, 0.000, 0.000)
Si (0.500, 0.500, 0.000)
Si (0.250, 0.750, 0.500)

*z*
Computed, not measured: a relaxed structure of K2InSi at the GGA-PBE level of DFT.

symmetry	P4/mmm

abc: 5.904 5.904 3.784
angles: 90.00 90.00 90.00
Positions (direct):
In (0.000, 0.500, 0.500)
Si (0.500, 0.000, 0.500)
K (0.000, 0.000, 0.000)
K (0.500, 0.500, 0.000)

Q: Which of them is the most stable? A: *w*.

*w*
Computed, not measured: a relaxed structure of K2In2Sn at the GGA-PBE level of DFT.

symmetry	I4/mmm

abc: 4.674 4.674 8.684
angles: 74.39 74.39 90.00
Positions (direct):
Sn (0.000, 0.000, 0.000)
K (0.250, 0.750, 0.500)
K (0.750, 0.250, 0.500)
In (0.413, 0.413, 0.175)
In (0.587, 0.587, 0.825)

*x*
Computed, not measured: a relaxed structure of K2In2Sn at the GGA-PBE level of DFT.

symmetry	P4/mbm

abc: 7.856 7.856 5.888
angles: 90.00 90.00 90.00
Positions (direct):
In (0.368, 0.868, 0.000)
In (0.868, 0.632, 0.000)
In (0.132, 0.368, 0.000)
In (0.632, 0.132, 0.000)
K (0.182, 0.682, 0.500)
K (0.318, 0.182, 0.500)
K (0.818, 0.318, 0.500)
K (0.682, 0.818, 0.500)
Sn (0.500, 0.500, 0.000)
Sn (0.000, 0.000, 0.000)

*y*
Computed, not measured: a relaxed structure of K2In2Sn at the GGA-PBE level of DFT.

symmetry	C2/m

abc: 8.453 7.615 7.754
angles: 82.44 76.28 56.29
Positions (direct):
In (0.337, 0.000, 0.865)
In (0.100, 0.000, 0.631)
In (0.663, 0.000, 0.135)
In (0.900, 0.000, 0.369)
K (0.129, 0.344, 0.261)
K (0.871, 0.656, 0.739)
K (0.527, 0.344, 0.739)
K (0.473, 0.656, 0.261)
Sn (0.882, 0.235, 0.000)
Sn (0.118, 0.765, 0.000)

Q: Which of them is the most stable? A: *y*.

*w*
Computed, not measured: a relaxed structure of K2InSn at the GGA-PBE level of DFT.

symmetry	R3m

abc: 4.958 4.958 9.042
angles: 90.04 105.88 120.00
Positions (direct):
In (0.732, 0.616, 0.348)
K (0.566, 0.033, 0.600)
K (0.183, 0.841, 0.024)
Sn (0.019, 0.259, 0.278)

*x*
Computed, not measured: a relaxed structure of K2InSn at the GGA-PBE level of DFT.

symmetry	Cm

abc: 5.452 6.999 9.417
angles: 73.92 73.17 67.08
Positions (direct):
In (0.060, 0.757, 0.124)
In (0.520, 0.988, 0.971)
K (0.810, 0.395, 0.984)
K (0.218, 0.228, 0.337)
K (0.464, 0.402, 0.671)
K (0.817, 0.830, 0.536)
Sn (0.521, 0.675, 0.283)
Sn (0.132, 0.942, 0.794)

*y*
Computed, not measured: a relaxed structure of K2InSn at the GGA-PBE level of DFT.

symmetry	R-3m

abc: 3.644 3.644 13.116
angles: 82.02 82.02 60.00
Positions (direct):
Sn (0.000, 0.000, 0.000)
K (0.089, 0.089, 0.734)
K (0.911, 0.911, 0.266)
In (0.500, 0.500, 0.500)

*z*
Computed, not measured: a relaxed structure of K2InSn at the GGA-PBE level of DFT.

symmetry	Fm-3m

abc: 5.903 5.903 5.903
angles: 60.00 60.00 60.00
Positions (direct):
K (0.750, 0.750, 0.750)
K (0.250, 0.250, 0.250)
In (0.000, 0.000, 0.000)
Sn (0.500, 0.500, 0.500)

Q: Which of them is the most stable? A: *x*.

*w*
Computed, not measured: a relaxed structure of K3In4Sn2 at the GGA-PBE level of DFT.

symmetry	P-1

abc: 5.029 7.421 9.880
angles: 68.72 75.17 70.16
Positions (direct):
In (0.080, 0.497, 0.345)
In (0.920, 0.503, 0.655)
In (0.317, 0.326, 0.040)
In (0.683, 0.674, 0.960)
K (0.619, 0.122, 0.639)
K (0.381, 0.878, 0.361)
K (0.000, 0.000, 0.000)
Sn (0.286, 0.672, 0.755)
Sn (0.714, 0.328, 0.245)

*x*
Computed, not measured: a relaxed structure of K3In4Sn2 at the GGA-PBE level of DFT.

symmetry	C2/m

abc: 4.883 7.354 11.898
angles: 58.11 78.16 70.61
Positions (direct):
K (0.000, 0.000, 0.000)
K (0.669, 0.324, 0.337)
K (0.331, 0.676, 0.663)
In (0.277, 0.388, 0.058)
In (0.947, 0.719, 0.387)
In (0.053, 0.281, 0.613)
In (0.723, 0.612, 0.942)
Sn (0.389, 0.948, 0.275)
Sn (0.611, 0.052, 0.725)

Q: Which of them is the most stable? A: *x*.

*w*
Computed, not measured: a relaxed structure of KIn4Sn at the GGA-PBE level of DFT.

symmetry	P6/mmm

abc: 5.276 5.276 7.655
angles: 90.00 90.00 120.00
Positions (direct):
K (0.000, 0.000, 0.500)
In (0.667, 0.333, 0.789)
In (0.333, 0.667, 0.789)
In (0.667, 0.333, 0.211)
In (0.333, 0.667, 0.211)
Sn (0.000, 0.000, 0.000)

*x*
Computed, not measured: a relaxed structure of KIn4Sn at the GGA-PBE level of DFT.

symmetry	Cmcm

abc: 9.640 9.640 8.315
angles: 90.00 90.00 151.41
Positions (direct):
In (0.333, 0.667, 0.452)
In (0.500, 0.500, 0.500)
In (0.333, 0.667, 0.048)
In (0.667, 0.333, 0.952)
In (0.500, 0.500, 0.000)
In (0.943, 0.057, 0.250)
In (0.667, 0.333, 0.548)
In (0.057, 0.943, 0.750)
Sn (0.224, 0.776, 0.750)
Sn (0.776, 0.224, 0.250)
K (0.873, 0.127, 0.750)
K (0.127, 0.873, 0.250)

Q: Which of them is the most stable? A: *x*.

*w*
Computed, not measured: a relaxed structure of KIn3Sn at the GGA-PBE level of DFT.

symmetry	Pm-3m

abc: 5.917 5.917 5.917
angles: 90.00 90.00 90.00
Positions (direct):
K (0.000, 0.000, 0.000)
In (0.500, 0.000, 0.000)
In (0.000, 0.000, 0.500)
In (0.000, 0.500, 0.000)
Sn (0.500, 0.500, 0.500)

*x*
Computed, not measured: a relaxed structure of KIn3Sn at the GGA-PBE level of DFT.

symmetry	Pm-3m

abc: 5.905 5.905 5.905
angles: 90.00 90.00 90.00
Positions (direct):
Sn (0.000, 0.000, 0.000)
In (0.000, 0.000, 0.500)
In (0.500, 0.000, 0.000)
In (0.000, 0.500, 0.000)
K (0.500, 0.500, 0.500)

Q: Which of them is the most stable? A: *x*.

*w*
Computed, not measured: a relaxed structure of KIn3Sn at the GGA-PBE level of DFT.

symmetry	Cmcm

abc: 7.131 7.131 7.194
angles: 90.00 90.00 60.66
Positions (direct):
K (0.029, 0.231, 0.052)
K (0.532, 0.734, 0.552)
In (0.413, 0.616, 0.052)
In (0.032, 0.731, 0.302)
In (0.148, 0.350, 0.552)
In (0.529, 0.235, 0.302)
In (0.032, 0.731, 0.802)
In (0.529, 0.235, 0.802)
Sn (0.913, 0.116, 0.552)
Sn (0.647, 0.850, 0.052)

*x*
Computed, not measured: a relaxed structure of KIn3Sn at the GGA-PBE level of DFT.

symmetry	P4mm

abc: 4.871 4.871 6.903
angles: 90.00 90.00 90.00
Positions (direct):
In (0.500, 0.000, 0.351)
In (0.000, 0.000, 0.632)
In (0.000, 0.500, 0.351)
Sn (0.000, 0.000, 0.077)
K (0.500, 0.500, 0.854)

Q: Which of them is the most stable? A: *w*.

*w*
Computed, not measured: a relaxed structure of KIn2Sn6 at the GGA-PBE level of DFT.

symmetry	C2/c

abc: 5.551 11.808 11.808
angles: 46.05 103.53 103.53
Positions (direct):
Sn (0.577, 0.589, 0.063)
Sn (0.423, 0.411, 0.937)
Sn (0.878, 0.511, 0.746)
Sn (0.622, 0.254, 0.489)
Sn (0.825, 0.140, 0.007)
Sn (0.077, 0.063, 0.589)
Sn (0.378, 0.746, 0.511)
Sn (0.675, 0.993, 0.860)
Sn (0.325, 0.007, 0.140)
Sn (0.175, 0.860, 0.993)
Sn (0.122, 0.489, 0.254)
Sn (0.923, 0.937, 0.411)
K (0.250, 0.315, 0.685)
K (0.750, 0.685, 0.315)
In (0.975, 0.309, 0.146)
In (0.475, 0.146, 0.309)
In (0.525, 0.854, 0.691)
In (0.025, 0.691, 0.854)

*x*
Computed, not measured: a relaxed structure of KIn2Sn6 at the GGA-PBE level of DFT.

symmetry	P4/mmm

abc: 4.967 4.967 11.130
angles: 90.00 90.00 90.00
Positions (direct):
Sn (0.000, 0.500, 0.299)
Sn (0.500, 0.000, 0.701)
Sn (0.500, 0.000, 0.299)
Sn (0.500, 0.500, 0.500)
Sn (0.000, 0.500, 0.701)
Sn (0.000, 0.000, 0.500)
In (0.500, 0.500, 0.133)
In (0.500, 0.500, 0.867)
K (0.000, 0.000, 0.000)

Q: Which of them is the most stable? A: *w*.

*w*
Computed, not measured: a relaxed structure of K2In3Sn5 at the GGA-PBE level of DFT.

symmetry	Ibam

abc: 7.459 10.212 10.212
angles: 69.89 68.58 68.58
Positions (direct):
In (0.125, 0.250, 0.500)
In (0.750, 0.000, 0.000)
In (0.250, 0.000, 0.000)
In (0.625, 0.500, 0.250)
In (0.875, 0.750, 0.500)
In (0.375, 0.500, 0.750)
Sn (0.999, 0.751, 0.751)
Sn (0.501, 0.249, 0.249)
Sn (0.499, 0.751, 0.751)
Sn (0.876, 0.997, 0.251)
Sn (0.750, 0.500, 0.500)
Sn (0.250, 0.500, 0.500)
Sn (0.624, 0.749, 0.003)
Sn (0.124, 0.003, 0.749)
Sn (0.001, 0.249, 0.249)
Sn (0.376, 0.251, 0.997)
K (0.125, 0.625, 0.125)
K (0.875, 0.375, 0.875)
K (0.375, 0.875, 0.375)
K (0.625, 0.125, 0.625)

*x*
Computed, not measured: a relaxed structure of K2In3Sn5 at the GGA-PBE level of DFT.

symmetry	P-4m2

abc: 5.288 5.288 11.741
angles: 90.00 90.00 90.00
Positions (direct):
Sn (0.000, 0.000, 0.000)
Sn (0.500, 0.000, 0.876)
Sn (0.000, 0.500, 0.124)
Sn (0.500, 0.500, 0.000)
Sn (0.500, 0.500, 0.500)
In (0.500, 0.000, 0.627)
In (0.000, 0.000, 0.500)
In (0.000, 0.500, 0.373)
K (0.000, 0.500, 0.747)
K (0.500, 0.000, 0.253)

Q: Which of them is the most stable? A: *w*.

*w*
Computed, not measured: a relaxed structure of K3InSn at the GGA-PBE level of DFT.

symmetry	Pm-3m

abc: 6.734 6.734 6.734
angles: 90.00 90.00 90.00
Positions (direct):
Sn (0.000, 0.000, 0.000)
K (0.000, 0.500, 0.000)
K (0.000, 0.000, 0.500)
K (0.500, 0.000, 0.000)
In (0.500, 0.500, 0.500)

*x*
Computed, not measured: a relaxed structure of K3InSn at the GGA-PBE level of DFT.

symmetry	Ima2

abc: 8.939 8.939 8.939
angles: 81.69 121.90 128.03
Positions (direct):
K (0.946, 0.782, 0.663)
K (0.531, 0.772, 0.741)
K (0.531, 0.290, 0.259)
K (0.031, 0.272, 0.741)
K (0.031, 0.790, 0.259)
K (0.119, 0.282, 0.337)
In (0.032, 0.532, 0.000)
In (0.532, 0.032, 0.000)
Sn (0.531, 0.782, 0.249)
Sn (0.532, 0.282, 0.751)

Q: Which of them is the most stable? A: *x*.